Record 1
The following is a DFT calculation (PBEsol) of an optimized crystal structure of La2TlSi.

Summary:
* E_form (uncorrected): -0.46 eV/atom

Cell: 7.088 8.554 3.516 Å, 90.00 90.00 90.00°
Space group Cmmm (No. 65)
Symmetry-distinct sites (fractional):
La: 0.250 0.250 0.000
Tl: 0.000 0.000 0.500
Si: 0.000 0.500 0.500


Record 2
The following is a DFT calculation (PBEsol) of an optimized crystal structure of ReMoIr2.

Summary:
* polymorph energy (0 for the lowest one): 0.0995 eV per atom

Cell: 3.842 3.842 7.779 Å, 90.00 90.00 90.00°
Space group I4/mmm (No. 139)
Symmetry-distinct sites (fractional):
Re: 0.000 0.000 0.000
Mo: 0.000 0.000 0.500
Ir: 0.000 0.500 0.250


Record 3
The following is a DFT calculation (PBEsol) of an optimized crystal structure of TbAlGe2O7.

Summary:
* E_form (uncorrected): -2.48 eV/atom

Cell: 7.105 6.491 12.554 Å, 90.00 117.75 90.00°
Space group P2_1/c (No. 14)
Symmetry-distinct sites (fractional):
Tb: 0.239 0.147 0.473
Al: 0.209 0.099 0.729
Ge: 0.214 0.658 0.455
Ge: 0.302 0.588 0.725
O: 0.010 0.655 0.921
O: 0.153 0.684 0.188
O: 0.210 0.055 0.870
O: 0.218 0.120 0.280
O: 0.254 0.004 0.078
O: 0.410 0.668 0.975
O: 0.422 0.119 0.690


Record 4
The following is a DFT calculation (PBEsol) of an optimized crystal structure of LiNiSnO4.

Summary:
* polymorph energy (0 for the lowest one): 0.0000 eV per atom
* E_form (uncorrected): -1.39 eV/atom

Cell: 4.977 3.067 5.151 Å, 90.00 103.36 90.00°
Space group P2/m (No. 10)
Symmetry-distinct sites (fractional):
Li: 0.000 0.000 0.000
Ni: 0.500 0.500 0.000
Sn: 0.500 0.000 0.500
O: 0.280 0.500 0.261
O: 0.296 0.000 0.803


Record 5
The following is a DFT calculation (PBEsol) of an optimized crystal structure of HgPbN2.

Summary:
* E_form (uncorrected): 1.60 eV/atom

Cell: 6.207 6.207 6.207 Å, 90.00 90.00 90.00°
Space group Fm-3m (No. 225)
Symmetry-distinct sites (fractional):
Hg: 0.000 0.000 0.000
Pb: 0.000 0.000 0.500
N: 0.250 0.250 0.250


Record 6
The following is a DFT calculation (PBEsol) of an optimized crystal structure of Ba4In2Te2S5.

Summary:
* E_form (uncorrected): -1.50 eV/atom

Cell: 8.316 8.316 10.972 Å, 90.00 90.00 90.00°
Space group P4/mbm (No. 127)
Symmetry-distinct sites (fractional):
Ba: 0.000 0.000 0.218
Ba: 0.157 0.343 0.500
In: 0.000 0.500 0.160
Te: 0.188 0.312 0.000
S: 0.000 0.000 0.500
S: 0.157 0.657 0.305


Record 7
The following is a DFT calculation (PBEsol) of an optimized crystal structure of Li3NiPCO7.

Summary:
* polymorph energy (0 for the lowest one): 0.0000 eV per atom
* E_form (uncorrected): -1.87 eV/atom

Cell: 4.878 6.290 8.303 Å, 90.00 95.52 90.00°
Space group P2_1/m (No. 11)
Symmetry-distinct sites (fractional):
Li: 0.210 0.250 0.105
Li: 0.262 0.512 0.724
Ni: 0.209 0.750 0.331
P: 0.273 0.250 0.413
C: 0.316 0.750 0.042
O: 0.063 0.750 0.074
O: 0.163 0.250 0.580
O: 0.167 0.061 0.304
O: 0.385 0.750 0.896
O: 0.406 0.750 0.562
O: 0.497 0.250 0.835


Record 8
The following is a DFT calculation (PBEsol) of an optimized crystal structure of P2RuSe.

Summary:
* E_form (uncorrected): 0.41 eV/atom

Cell: 6.116 6.116 6.116 Å, 90.00 90.00 90.00°
Space group F-43m (No. 216)
Symmetry-distinct sites (fractional):
P: 0.000 0.000 0.000
P: 0.250 0.250 0.250
Ru: 0.250 0.250 0.750
Se: 0.000 0.000 0.500


Record 9
The following is a DFT calculation (PBEsol) of an optimized crystal structure of ScTl2Se.

Summary:
* E_form (uncorrected): -0.26 eV/atom

Cell: 4.054 4.054 5.800 Å, 90.00 90.00 90.00°
Space group P4/mmm (No. 123)
Symmetry-distinct sites (fractional):
Sc: 0.000 0.000 0.000
Tl: 0.500 0.500 0.250
Se: 0.000 0.000 0.500


Record 10
The following is a DFT calculation (PBEsol) of an optimized crystal structure of Al2SeCl.

Summary:
* polymorph energy (0 for the lowest one): 0.0730 eV per atom
* E_form (uncorrected): -0.32 eV/atom

Cell: 3.108 3.108 8.224 Å, 90.00 90.00 90.00°
Space group P4mm (No. 99)
Symmetry-distinct sites (fractional):
Al: 0.000 0.000 0.000
Al: 0.500 0.500 0.239
Se: 0.500 0.500 0.822
Cl: 0.000 0.000 0.429


Record 11
The following is a DFT calculation (PBEsol) of an optimized crystal structure of HgPRhCl2.

Summary:
* E_form (uncorrected): 0.04 eV/atom

Cell: 4.835 4.835 4.469 Å, 90.00 90.00 90.00°
Space group P4/mmm (No. 123)
Symmetry-distinct sites (fractional):
Hg: 0.000 0.000 0.000
P: 0.500 0.500 0.000
Rh: 0.500 0.500 0.500
Cl: 0.000 0.500 0.500


Record 12
The following is a DFT calculation (PBEsol) of an optimized crystal structure of MgReB2.

Cell: 4.835 4.835 10.999 Å, 90.00 90.00 90.00°
Space group I-42d (No. 122)
Symmetry-distinct sites (fractional):
Mg: 0.000 0.000 0.000
Re: 0.000 0.000 0.500
B: 0.162 0.250 0.625


Record 13
The following is a DFT calculation (PBEsol) of an optimized crystal structure of Cs2ScTlF6.

Summary:
* E_form (uncorrected): -3.10 eV/atom

Cell: 9.306 9.306 9.306 Å, 90.00 90.00 90.00°
Space group Fm-3m (No. 225)
Symmetry-distinct sites (fractional):
Cs: 0.250 0.250 0.250
Sc: 0.000 0.000 0.000
Tl: 0.000 0.000 0.500
F: 0.000 0.000 0.217


Record 14
The following is a DFT calculation (PBEsol) of an optimized crystal structure of LiCaSb2.

Summary:
* polymorph energy (0 for the lowest one): 0.0000 eV per atom
* E_form (uncorrected): -0.66 eV/atom

Cell: 4.729 4.729 4.367 Å, 90.00 90.00 90.00°
Space group P4/mmm (No. 123)
Symmetry-distinct sites (fractional):
Li: 0.000 0.000 0.000
Ca: 0.500 0.500 0.000
Sb: 0.000 0.500 0.500


Record 15
The following is a DFT calculation (PBEsol) of an optimized crystal structure of CdPb2Au.

Cell: 3.453 4.517 13.062 Å, 90.00 90.00 90.00°
Space group Immm (No. 71)
Symmetry-distinct sites (fractional):
Cd: 0.000 0.000 0.000
Pb: 0.000 0.500 0.185
Au: 0.000 0.000 0.500


Record 16
The following is a DFT calculation (PBEsol) of an optimized crystal structure of BaSbTe2S.

Summary:
* E_form (uncorrected): -0.42 eV/atom

Cell: 5.469 5.469 5.155 Å, 90.00 90.00 90.00°
Space group P4/mmm (No. 123)
Symmetry-distinct sites (fractional):
Ba: 0.000 0.000 0.000
Sb: 0.500 0.500 0.000
Te: 0.000 0.500 0.500
S: 0.500 0.500 0.500


Record 17
The following is a DFT calculation (PBEsol) of an optimized crystal structure of CaTl2Ag.

Cell: 3.822 3.822 6.784 Å, 90.00 90.00 90.00°
Space group P4mm (No. 99)
Symmetry-distinct sites (fractional):
Ca: 0.000 0.000 0.000
Tl: 0.000 0.000 0.534
Tl: 0.500 0.500 0.269
Ag: 0.500 0.500 0.757


Record 18
The following is a DFT calculation (PBEsol) of an optimized crystal structure of SrLiGaN2.

Summary:
* E_form (uncorrected): -0.72 eV/atom

Cell: 6.048 10.100 12.576 Å, 90.00 91.26 90.00°
Space group C2/m (No. 12)
Symmetry-distinct sites (fractional):
Sr: 0.000 0.166 0.000
Sr: 0.000 0.180 0.500
Sr: 0.051 0.000 0.256
Li: 0.098 0.500 0.920
Li: 0.131 0.319 0.681
Ga: 0.110 0.500 0.412
Ga: 0.150 0.337 0.187
N: 0.176 0.323 0.851
N: 0.204 0.340 0.343
N: 0.220 0.500 0.567
N: 0.248 0.500 0.108


Record 19
The following is a DFT calculation (PBEsol) of an optimized crystal structure of CdRh.

Cell: 4.4838 4.4838 5.2409 Å, 90.00 90.00 120.00°
Space group P6_3/mmc (No. 194)
Symmetry-distinct sites (fractional):
Cd: 0.3333 0.6667 0.2500
Rh: 0.3333 0.6667 0.7500


Record 20
The following is a DFT calculation (PBEsol) of an optimized crystal structure of ZrCdCl2.

Summary:
* polymorph energy (0 for the lowest one): 0.0000 eV per atom
* E_form (uncorrected): -0.57 eV/atom

Cell: 6.230 8.990 3.204 Å, 90.00 116.63 90.00°
Space group C2/m (No. 12)
Symmetry-distinct sites (fractional):
Zr: 0.000 0.000 0.000
Cd: 0.000 0.500 0.000
Cl: 0.250 0.250 0.000


Number 1: energy -20.9 eV/f.u.. Number 2: energy -45.7 eV/f.u.. Number 3: energy -83.0 eV/f.u.. Number 4: energy -43.1 eV/f.u.. Number 5: energy -15.2 eV/f.u.. Number 6: energy -63.0 eV/f.u.. Number 7: energy -88.5 eV/f.u.. Number 8: energy -24.0 eV/f.u.. Number 9: energy -16.7 eV/f.u.. Number 10: energy -15.3 eV/f.u.. Number 11: energy -18.3 eV/f.u.. Number 12: energy -25.9 eV/f.u.. Number 13: energy -53.7 eV/f.u.. Number 14: energy -15.9 eV/f.u.. Number 15: energy -13.1 eV/f.u.. Number 16: energy -20.3 eV/f.u.. Number 17: energy -11.4 eV/f.u.. Number 18: energy -27.8 eV/f.u.. Number 19: energy -7.4 eV/f.u.. Number 20: energy -16.6 eV/f.u..